[1]
{
  "formula": "HfTlF",
  "functional": "PBE-GGA",
  "state": "optimized geometry",
  "e_form_raw_ev_per_atom": -1.26,
  "crystal_system": "hexagonal",
  "vol_a3_per_cell": 133.0,
  "lattice": [[3.1653, 0.0000, 0.0000], [-1.5827, 2.7413, 0.0000], [0.0000, 0.0000, 15.3292]],
  "species": ["Hf", "Hf", "F", "Tl", "Tl", "F"],
  "fractional_positions": [[0.2775, 0.5551, 0.1666], [0.2775, 0.5551, 0.8334], [0.6110, 0.2220, 0.7419], [0.2784, 0.5569, 0.5000], [0.6110, 0.2220, 0.0000], [0.6110, 0.2220, 0.2581]]
}

[2]
{
  "formula": "HfTlF2",
  "functional": "PBE-GGA",
  "state": "optimized geometry",
  "e_form_raw_ev_per_atom": -1.94,
  "crystal_system": "trigonal",
  "vol_a3_per_cell": 84.7,
  "relative_energy_mev_per_atom": 0,
  "lattice": [[1.9195, 0.0000, 8.8517], [-0.9598, 1.6624, 8.8517], [-0.9598, -1.6624, 8.8517]],
  "species": ["F", "Tl", "Hf", "F"],
  "fractional_positions": [[0.0740, 0.0740, 0.0740], [0.5000, 0.5000, 0.5000], [0.0000, 0.0000, 0.0000], [0.9260, 0.9260, 0.9260]]
}

[3]
{
  "formula": "HfTl3F8",
  "functional": "PBE-GGA",
  "state": "optimized geometry",
  "e_form_raw_ev_per_atom": -2.59,
  "crystal_system": "tetragonal",
  "vol_a3_per_cell": 212.4,
  "lattice": [[-3.3140, 5.0208, 1.8971], [-2.4738, -6.2601, 1.7592], [0.7382, -1.7820, 6.0058]],
  "species": ["F", "F", "Tl", "Hf", "F", "F", "F", "Tl", "F", "F", "F", "Tl"],
  "fractional_positions": [[0.6805, 0.6668, 0.3195], [0.0137, 0.3332, 0.6805], [0.5000, 0.0000, 0.5000], [0.0000, 0.0000, 0.0000], [0.1483, 0.8674, 0.2809], [0.9863, 0.6668, 0.0137], [0.7191, 0.8674, 0.8517], [0.2500, 0.5000, 0.2500], [0.3195, 0.3332, 0.9863], [0.8517, 0.1326, 0.1483], [0.2809, 0.1326, 0.7191], [0.7500, 0.5000, 0.7500]]
}

[4]
{
  "formula": "HfTlF2",
  "functional": "PBE-GGA",
  "state": "optimized geometry",
  "e_form_raw_ev_per_atom": -1.81,
  "crystal_system": "tetragonal",
  "vol_a3_per_cell": 152.8,
  "relative_energy_mev_per_atom": 128,
  "lattice": [[4.6906, 0.0000, 0.0000], [0.0000, 4.6906, 0.0000], [2.3453, 2.3453, 6.9467]],
  "species": ["F", "F", "Hf", "Hf", "Tl", "Tl", "F", "F"],
  "fractional_positions": [[0.8750, 0.6257, 0.7500], [0.3743, 0.6250, 0.2500], [0.2500, 0.7500, 0.5000], [0.5000, 0.5000, 0.0000], [0.7500, 0.2500, 0.5000], [0.0000, 0.0000, 0.0000], [0.3757, 0.1250, 0.2500], [0.3750, 0.6243, 0.7500]]
}

[5]
{
  "formula": "HfTl2F",
  "functional": "PBE-GGA",
  "state": "optimized geometry",
  "e_form_raw_ev_per_atom": -0.19,
  "crystal_system": "tetragonal",
  "vol_a3_per_cell": 181.5,
  "relative_energy_mev_per_atom": 0,
  "lattice": [[7.3692, 0.0000, 0.0000], [0.0000, 7.3692, 0.0000], [3.6846, 3.6846, 3.3426]],
  "species": ["Tl", "F", "Hf", "Tl", "Tl", "F", "Tl", "Hf"],
  "fractional_positions": [[0.1709, 0.6250, 0.2500], [0.2500, 0.7500, 0.5000], [0.7500, 0.2500, 0.5000], [0.8750, 0.8291, 0.7500], [0.5791, 0.1250, 0.2500], [0.5000, 0.5000, 0.0000], [0.3750, 0.4209, 0.7500], [0.0000, 0.0000, 0.0000]]
}

[6]
{
  "formula": "HfTlF2",
  "functional": "PBE-GGA",
  "state": "optimized geometry",
  "e_form_raw_ev_per_atom": -0.96,
  "crystal_system": "cubic",
  "vol_a3_per_cell": 65.0,
  "relative_energy_mev_per_atom": 981,
  "lattice": [[0.0000, 3.1920, 3.1920], [3.1920, 0.0000, 3.1920], [3.1920, 3.1920, 0.0000]],
  "species": ["Hf", "Tl", "F", "F"],
  "fractional_positions": [[0.0000, 0.0000, 0.0000], [0.5000, 0.5000, 0.5000], [0.7500, 0.7500, 0.7500], [0.2500, 0.2500, 0.2500]]
}

[7]
{
  "formula": "HfTl2F6",
  "functional": "PBE-GGA",
  "state": "optimized geometry",
  "e_form_raw_ev_per_atom": -3.00,
  "crystal_system": "tetragonal",
  "vol_a3_per_cell": 399.4,
  "lattice": [[5.7753, 0.0000, 0.0000], [0.0000, 5.7753, 0.0000], [0.0000, 0.0000, 11.9739]],
  "species": ["Tl", "Tl", "F", "F", "F", "F", "Hf", "F", "Tl", "F", "Tl", "F", "F", "F", "F", "F", "Hf", "F"],
  "fractional_positions": [[0.0000, 0.0000, 0.1622], [0.5000, 0.5000, 0.6622], [0.7530, 0.7530, 0.5000], [0.7470, 0.2530, 0.0000], [0.8298, 0.1702, 0.6220], [0.2470, 0.2470, 0.5000], [0.0000, 0.0000, 0.5000], [0.2530, 0.7470, 0.0000], [0.5000, 0.5000, 0.3378], [0.1702, 0.8298, 0.3780], [0.0000, 0.0000, 0.8378], [0.6702, 0.6702, 0.1220], [0.6702, 0.6702, 0.8780], [0.1702, 0.8298, 0.6220], [0.3298, 0.3298, 0.8780], [0.3298, 0.3298, 0.1220], [0.5000, 0.5000, 0.0000], [0.8298, 0.1702, 0.3780]]
}

[8]
{
  "formula": "HfTl2F5",
  "functional": "PBE-GGA",
  "state": "optimized geometry",
  "e_form_raw_ev_per_atom": -2.67,
  "crystal_system": "triclinic",
  "vol_a3_per_cell": 182.0,
  "lattice": [[-5.5064, -0.7958, 1.0949], [-1.0055, -5.4915, -0.9203], [4.5436, 1.9630, 5.5514]],
  "species": ["F", "Hf", "Tl", "Tl", "F", "F", "F", "F"],
  "fractional_positions": [[0.8121, 0.8121, 0.6253], [0.9806, 0.9806, 0.9610], [0.2155, 0.7160, 0.4317], [0.7143, 0.2144, 0.4290], [0.7478, 0.7487, 0.9311], [0.3101, 0.8128, 0.1236], [0.1824, 0.1809, 0.9285], [0.8142, 0.3115, 0.1238]]
}

[9]
{
  "formula": "HfTl2F",
  "functional": "PBE-GGA",
  "state": "optimized geometry",
  "e_form_raw_ev_per_atom": -0.15,
  "crystal_system": "cubic",
  "vol_a3_per_cell": 88.8,
  "relative_energy_mev_per_atom": 37,
  "lattice": [[2.8897, -1.2089, -3.9062], [2.8235, -4.1320, 0.1585], [-1.1709, -3.9433, -2.8548]],
  "species": ["F", "Tl", "Hf", "Tl"],
  "fractional_positions": [[0.0000, 0.0000, 0.0000], [0.7500, 0.7500, 0.7500], [0.5000, 0.5000, 0.5000], [0.2500, 0.2500, 0.2500]]
}

[10]
{
  "formula": "HfTl3F7",
  "functional": "PBE-GGA",
  "state": "optimized geometry",
  "e_form_raw_ev_per_atom": -2.77,
  "crystal_system": "trigonal",
  "vol_a3_per_cell": 217.8,
  "lattice": [[5.9250, 1.0017, -0.5049], [-0.6260, 5.9764, -0.5049], [0.7607, 1.0017, 5.8977]],
  "species": ["F", "Tl", "F", "Tl", "F", "F", "Tl", "Hf", "F", "F", "F"],
  "fractional_positions": [[0.7333, 0.1555, 0.1555], [0.4305, 0.4305, 0.9062], [0.7347, 0.7347, 0.0708], [0.4305, 0.9062, 0.4305], [0.7347, 0.0708, 0.7347], [0.1555, 0.7333, 0.1555], [0.9062, 0.4305, 0.4305], [0.9619, 0.9619, 0.9619], [0.0708, 0.7347, 0.7347], [0.1548, 0.1548, 0.1548], [0.1555, 0.1555, 0.7333]]
}

[11]
{
  "formula": "TmHfF",
  "functional": "PBE-GGA",
  "state": "optimized geometry",
  "e_form_raw_ev_per_atom": -1.57,
  "crystal_system": "trigonal",
  "vol_a3_per_cell": 123.7,
  "lattice": [[-1.5185, -2.4197, -1.7075], [-1.2771, -2.6202, 1.6061], [-13.1074, 2.8499, 1.1273]],
  "species": ["F", "F", "Hf", "Hf", "Tm", "Tm"],
  "fractional_positions": [[0.2740, 0.2740, 0.5574], [0.4792, 0.4792, 0.7500], [0.4790, 0.4790, 0.2503], [0.2742, 0.2742, 0.0571], [0.6751, 0.6751, 0.4560], [0.0781, 0.0781, 0.8514]]
}

[12]
{
  "formula": "TmHfF7",
  "functional": "PBE-GGA",
  "state": "optimized geometry",
  "e_form_raw_ev_per_atom": -4.01,
  "crystal_system": "monoclinic",
  "vol_a3_per_cell": 275.0,
  "lattice": [[5.7559, 0.0000, 0.0000], [0.0000, 5.9908, 0.0655], [0.0000, 1.8143, 7.9964]],
  "species": ["F", "F", "F", "Hf", "F", "Tm", "F", "F", "F", "F", "F", "F", "F", "F", "F", "Hf", "Tm", "F"],
  "fractional_positions": [[0.4485, 0.4151, 0.2070], [0.9664, 0.0720, 0.7565], [0.7039, 0.1348, 0.4752], [0.2033, 0.8190, 0.7737], [0.2039, 0.8652, 0.5248], [0.2023, 0.6507, 0.3115], [0.4414, 0.0703, 0.7581], [0.9414, 0.9297, 0.2419], [0.7027, 0.2297, 0.9760], [0.4664, 0.9280, 0.2435], [0.4464, 0.4944, 0.5023], [0.2027, 0.7703, 0.0240], [0.9464, 0.5056, 0.4977], [0.9485, 0.5849, 0.7930], [0.9615, 0.4119, 0.2072], [0.7033, 0.1810, 0.2263], [0.7023, 0.3493, 0.6885], [0.4615, 0.5881, 0.7928]]
}